VASP calculation (PBE-GGA) on a relaxed VIn2TeN crystal.

a b c (Å): 6.0364 6.0364 3.6611
angles (deg): 90.00 90.00 90.00
Atoms (fractional coordinates):
V 0.0000 0.0000 0.0000
In 0.0000 0.5000 0.0000
In 0.5000 0.0000 0.0000
Te 0.5000 0.5000 0.5000
N 0.0000 0.0000 0.5000

Values from the calculation:
**Calculated density**: 5.255 g/cm3
**Formation energy without anion corrections**: 23.2 kJ per mole of atoms
**DFT total energy**: -24.860 eV/cell